No. 1
VASP calculation (PBE) on crystalline Mn8Ga2C at its relaxed geometry.

a b c (Å): 3.4207 3.6446 10.1635
angles (deg): 90.00 90.00 90.00
Element x y z (fractional)
Mn1 0.0000 0.0000 0.0000
Mn2 0.0000 0.0000 0.3843
Mn3 0.0000 0.0000 0.6157
Mn4 0.0000 0.5000 0.1977
Mn5 0.0000 0.5000 0.8023
Mn6 0.5000 0.5000 0.0000
Mn7 0.5000 0.5000 0.3844
Mn8 0.5000 0.5000 0.6156
Ga1 0.5000 0.0000 0.1875
Ga2 0.5000 0.0000 0.8125
C1 0.5000 0.0000 0.5000

- Final energy: -87.56 eV/f.u.
- N(E_F): 12.60 states/eV/f.u.
- Symmetry: Pmmm

=====

No. 2
VASP calculation (PBE) on crystalline Mn4GaC at its relaxed geometry.

a b c (Å): 4.1730 4.9372 6.8655
angles (deg): 90.00 100.14 90.00
Element x y z (fractional)
Mn1 0.1524 0.0063 0.2050
Mn2 0.1524 0.4937 0.2050
Mn3 0.2656 0.7500 0.5502
Mn4 0.3115 0.2500 0.7126
Mn5 0.6885 0.7500 0.2874
Mn6 0.7344 0.2500 0.4498
Mn7 0.8476 0.5063 0.7950
Mn8 0.8476 0.9937 0.7950
Ga1 0.3822 0.7500 0.9264
Ga2 0.6178 0.2500 0.0736
C1 0.2287 0.2500 0.4349
C2 0.7713 0.7500 0.5651

- N(E_F): 4.38 states/eV/f.u.
- Symmetry: P2_1/m
- Energy above the most stable polymorph in this dataset: 0 meV/atom

=====

No. 3
VASP calculation (PBE) on crystalline Mn2GaMoC at its relaxed geometry.

a b c (Å): 3.8300 3.8300 4.2195
angles (deg): 90.00 90.00 90.00
Element x y z (fractional)
Mn1 0.0000 0.5000 0.0000
Mn2 0.5000 0.0000 0.0000
Ga1 0.0000 0.0000 0.5000
Mo1 0.5000 0.5000 0.5000
C1 0.5000 0.5000 0.0000

- Final energy: -41.61 eV/f.u.
- N(E_F): 4.47 states/eV/f.u.
- Symmetry: P4/mmm